1.
DFT (GGA-PBE) results for a relaxed KCoTcBi2 crystal.

Output
ΔE_f: 0.8166 eV/atom
Density of states at the Fermi level: 7.2 states/eV/cell
DFT total energy: -4.450 eV/atom

a b c (Å): 5.3202 5.3202 4.5800
angles (deg): 90.00 90.00 90.00
Fractional coordinates of all 5 atoms:
K 0.0000 0.0000 0.0000
Co 0.5000 0.5000 0.5000
Tc 0.5000 0.5000 0.0000
Bi 0.0000 0.5000 0.5000
Bi 0.5000 0.0000 0.5000

2.
DFT (GGA-PBE) results for a relaxed LaCoBi2 crystal.

Output
ΔE_f: 0.1104 eV/atom
Density of states at the Fermi level: 13.9 states/eV/cell
DFT total energy: -4.838 eV/atom

a b c (Å): 9.3331 9.3331 9.3331
angles (deg): 145.65 145.65 49.37
Fractional coordinates of all 8 atoms:
La 0.0000 0.0000 0.0000
La 0.7500 0.2500 0.5000
Co 0.2500 0.7500 0.5000
Co 0.5000 0.5000 0.0000
Bi 0.2456 0.6250 0.1206
Bi 0.3750 0.4956 0.6206
Bi 0.5044 0.1250 0.8794
Bi 0.8750 0.7544 0.3794

3.
DFT (GGA-PBE) results for a relaxed La6Co13Bi crystal.

Output
ΔE_f: -0.1797 eV/atom
Density of states at the Fermi level: 40.6 states/eV/cell
DFT total energy: -6.471 eV/atom

a b c (Å): 13.0176 13.0176 13.0176
angles (deg): 143.77 143.77 52.17
Fractional coordinates of all 40 atoms:
La 0.0179 0.5179 0.1806
La 0.0978 0.0978 0.0000
La 0.1627 0.9821 0.5000
La 0.3373 0.8373 0.8194
La 0.4022 0.4022 0.0000
La 0.4821 0.6627 0.5000
La 0.5179 0.3373 0.5000
La 0.5978 0.5978 0.0000
La 0.6627 0.1627 0.1806
La 0.8373 0.0179 0.5000
La 0.9022 0.9022 0.0000
La 0.9821 0.4821 0.8194
Co 0.0000 0.5000 0.5000
Co 0.0269 0.2987 0.5000
Co 0.0655 0.2145 0.2801
Co 0.1213 0.6213 0.8528
Co 0.2013 0.4731 0.5000
Co 0.2145 0.9345 0.1490
Co 0.2315 0.7315 0.8528
Co 0.2685 0.1213 0.5000
Co 0.2855 0.4345 0.7199
Co 0.2987 0.7987 0.2718
Co 0.3787 0.2315 0.5000
Co 0.4345 0.7145 0.1490
Co 0.4731 0.9731 0.2718
Co 0.5000 0.0000 0.5000
Co 0.5269 0.0269 0.7282
Co 0.5655 0.2855 0.8510
Co 0.6213 0.7685 0.5000
Co 0.7013 0.2013 0.7282
Co 0.7145 0.5655 0.2801
Co 0.7315 0.8787 0.5000
Co 0.7685 0.2685 0.1472
Co 0.7855 0.0655 0.8510
Co 0.7987 0.5269 0.5000
Co 0.8787 0.3787 0.1472
Co 0.9345 0.7855 0.7199
Co 0.9731 0.7013 0.5000
Bi 0.2500 0.2500 0.0000
Bi 0.7500 0.7500 0.0000

4.
DFT (GGA-PBE) results for a relaxed La3CoBi crystal.

Output
Excess energy over the best structure of this formula in the dataset: 0.236 eV/atom
ΔE_f: -0.2589 eV/atom
Density of states at the Fermi level: 26.2 states/eV/cell
DFT total energy: -5.413 eV/atom

a b c (Å): 10.0257 10.0257 10.0257
angles (deg): 60.00 60.00 60.00
Fractional coordinates of all 20 atoms:
La 0.0828 0.0828 0.6672
La 0.0828 0.6672 0.0828
La 0.0828 0.6672 0.6672
La 0.3328 0.3328 0.9172
La 0.3328 0.9172 0.3328
La 0.3328 0.9172 0.9172
La 0.6672 0.0828 0.0828
La 0.6672 0.0828 0.6672
La 0.6672 0.6672 0.0828
La 0.9172 0.3328 0.3328
La 0.9172 0.3328 0.9172
La 0.9172 0.9172 0.3328
Co 0.0000 0.0000 0.0000
Co 0.0000 0.0000 0.5000
Co 0.0000 0.5000 0.0000
Co 0.5000 0.0000 0.0000
Bi 0.0000 0.5000 0.5000
Bi 0.5000 0.0000 0.5000
Bi 0.5000 0.5000 0.0000
Bi 0.5000 0.5000 0.5000

5.
DFT (GGA-PBE) results for a relaxed La3CoBi crystal.

Output
Excess energy over the best structure of this formula in the dataset: 0.253 eV/atom
ΔE_f: -0.2423 eV/atom
Density of states at the Fermi level: 15.0 states/eV/cell
DFT total energy: -5.396 eV/atom

a b c (Å): 7.9058 9.8912 8.4228
angles (deg): 90.00 90.00 90.00
Fractional coordinates of all 20 atoms:
La 0.1242 0.0701 0.1450
La 0.1242 0.4299 0.1450
La 0.1875 0.2500 0.7248
La 0.3125 0.7500 0.2248
La 0.3758 0.5701 0.6450
La 0.3758 0.9299 0.6450
La 0.6242 0.0701 0.3550
La 0.6242 0.4299 0.3550
La 0.6875 0.2500 0.7752
La 0.8125 0.7500 0.2752
La 0.8758 0.5701 0.8550
La 0.8758 0.9299 0.8550
Co 0.0465 0.7500 0.0444
Co 0.4535 0.2500 0.5444
Co 0.5465 0.7500 0.4556
Co 0.9535 0.2500 0.9556
Bi 0.0000 0.0000 0.5000
Bi 0.0000 0.5000 0.5000
Bi 0.5000 0.0000 0.0000
Bi 0.5000 0.5000 0.0000

6.
DFT (GGA-PBE) results for a relaxed La3CoBi crystal.

Output
Excess energy over the best structure of this formula in the dataset: 0.120 eV/atom
ΔE_f: -0.3751 eV/atom
Density of states at the Fermi level: 8.9 states/eV/cell
DFT total energy: -5.529 eV/atom

a b c (Å): 7.2209 7.2209 8.9020
angles (deg): 93.64 93.64 39.24
Fractional coordinates of all 10 atoms:
La 0.0427 0.0427 0.3058
La 0.2476 0.2476 0.7480
La 0.3843 0.3843 0.0571
La 0.6157 0.6157 0.9429
La 0.7524 0.7524 0.2520
La 0.9573 0.9573 0.6942
Co 0.0969 0.0969 0.0223
Co 0.9031 0.9031 0.9777
Bi 0.3737 0.3737 0.4348
Bi 0.6263 0.6263 0.5652

7.
DFT (GGA-PBE) results for a relaxed La3CoBi crystal.

Output
Excess energy over the best structure of this formula in the dataset: 0.114 eV/atom
ΔE_f: -0.3807 eV/atom
Density of states at the Fermi level: 6.9 states/eV/cell
DFT total energy: -5.535 eV/atom

a b c (Å): 5.2784 7.4534 7.3062
angles (deg): 90.00 90.02 90.00
Fractional coordinates of all 10 atoms:
La 0.2499 0.0353 0.1727
La 0.2500 0.2500 0.6712
La 0.2499 0.4647 0.1727
La 0.7501 0.5353 0.8273
La 0.7500 0.7500 0.3288
La 0.7501 0.9647 0.8273
Co 0.2493 0.7500 0.9886
Co 0.7507 0.2500 0.0114
Bi 0.2500 0.7500 0.6084
Bi 0.7500 0.2500 0.3916

8.
DFT (GGA-PBE) results for a relaxed La5CoBi2 crystal.

Output
Excess energy over the best structure of this formula in the dataset: 0.196 eV/atom
ΔE_f: -0.4380 eV/atom
Density of states at the Fermi level: 7.9 states/eV/cell
DFT total energy: -5.376 eV/atom

a b c (Å): 7.1123 7.1123 7.1123
angles (deg): 115.77 115.77 97.50
Fractional coordinates of all 8 atoms:
La 0.0000 0.0000 0.0000
La 0.4768 0.4768 0.5075
La 0.4768 0.9693 0.0000
La 0.9693 0.4768 0.0000
La 0.9693 0.9693 0.4925
Co 0.7373 0.7373 0.0000
Bi 0.4758 0.9758 0.5000
Bi 0.9758 0.4758 0.5000